[1]
Compound: SrAl4Mo
Source: the Alexandria database
Functional: PBE
Structure: relaxed

Cell lengths 5.4017, 5.4017, 5.4017 Å; angles 60.00, 60.00, 60.00 degrees
Closest atoms and distances in Å follow each position.
Atoms (fractional coordinates):
Sr 0.0000 0.0000 0.0000  12 Al 3.17, 4 Mo 3.31
Al 0.1272 0.6243 0.6243  6 Al 2.68-2.72
Al 0.6243 0.1272 0.6243  6 Al 2.68-2.72
Al 0.6243 0.6243 0.1272  6 Al 2.68-2.72
Al 0.6243 0.6243 0.6243  6 Al 2.68-2.72
Mo 0.2500 0.2500 0.2500  12 Al 3.17, 4 Sr 3.31

Output
Its magnetic moment is 0.00 μB/cell. The total energy comes out at -0.1673 hartree per atom.

[2]
Compound: SrAl2Mo
Source: the Alexandria database
Functional: PBE
Structure: relaxed

Cell lengths 2.9718, 2.9718, 9.0909 Å; angles 90.00, 90.00, 90.00 degrees
Closest atoms and distances in Å follow each position.
Atoms (fractional coordinates):
Sr 0.0000 0.0000 0.0000  4 Sr 2.97
Al 0.0000 0.0000 0.5029  4 Mo 2.77, 8 Al 2.83-2.97
Al 0.5000 0.5000 0.2937  8 Al 2.83-2.97
Mo 0.5000 0.5000 0.7020  4 Al 2.77, 4 Mo 2.97

Output
Its magnetic moment is 0.00 μB/cell. The total energy comes out at -0.1700 hartree per atom.

[3]
Compound: SrAlMo2
Source: the Alexandria database
Functional: PBE
Structure: relaxed

Cell lengths 3.5184, 3.5184, 7.0465 Å; angles 90.00, 90.00, 90.00 degrees
Closest atoms and distances in Å follow each position.
Atoms (fractional coordinates):
Sr 0.0000 0.0000 0.0000  8 Mo 3.46, 4 Sr 3.52, 2 Al 3.52
Al 0.0000 0.0000 0.5000  8 Mo 2.73
Mo 0.5000 0.5000 0.3412  1 Mo 2.24
Mo 0.5000 0.5000 0.6588  1 Mo 2.24

Output
Its magnetic moment is 0.00 μB/cell. The total energy comes out at -0.2352 hartree per atom.

[4]
Compound: SrAlMo2
Source: the Alexandria database
Functional: PBE
Structure: relaxed

Cell lengths 2.9419, 2.9419, 9.6645 Å; angles 90.00, 90.00, 109.61 degrees
Closest atoms and distances in Å follow each position.
Atoms (fractional coordinates):
Sr 0.0000 0.0000 0.0000  4 Sr 2.94, 2 Mo 3.26, 2 Al 3.27
Al 0.5000 0.5000 0.2889  2 Mo 2.71, 4 Al 2.94
Mo 0.0000 0.0000 0.5070  2 Mo 2.60, 2 Al 2.71
Mo 0.5000 0.5000 0.7115  2 Mo 2.60

Output
Its magnetic moment is 0.00 μB/cell. The total energy comes out at -0.2307 hartree per atom.

[5]
Compound: Sr2AlMo
Source: the Alexandria database
Functional: PBE
Structure: relaxed

Cell lengths 4.5070, 4.5070, 5.0256 Å; angles 90.00, 90.00, 90.00 degrees
Closest atoms and distances in Å follow each position.
Atoms (fractional coordinates):
Sr 0.0000 0.5000 0.0000  4 Sr 3.19, 4 Mo 3.38, 4 Al 3.38
Sr 0.5000 0.0000 0.0000  4 Sr 3.19, 4 Mo 3.38, 4 Al 3.38
Al 0.0000 0.0000 0.5000  4 Mo 3.19, 8 Sr 3.38
Mo 0.5000 0.5000 0.5000  4 Al 3.19, 8 Sr 3.38

Output
Its magnetic moment is 0.00 μB/cell. The total energy comes out at -0.1360 hartree per atom.

[6]
Compound: Sr3AlMo
Source: the Alexandria database
Functional: PBE
Structure: relaxed

Cell lengths 5.7174, 5.7174, 5.7174 Å; angles 90.00, 90.00, 90.00 degrees
Closest atoms and distances in Å follow each position.
Atoms (fractional coordinates):
Sr 0.0000 0.0000 0.5000  2 Mo 2.86
Sr 0.0000 0.5000 0.0000  2 Mo 2.86
Sr 0.5000 0.0000 0.0000  2 Mo 2.86
Al 0.5000 0.5000 0.5000  12 Sr 4.04
Mo 0.0000 0.0000 0.0000  6 Sr 2.86

Output
Its magnetic moment is 0.00 μB/cell. The total energy comes out at -0.1097 hartree per atom.

[7]
Compound: SrAlMo2
Source: the Alexandria database
Functional: PBE
Structure: relaxed

Cell lengths 2.8097, 2.8097, 9.5931 Å; angles 90.00, 90.00, 90.00 degrees
Closest atoms and distances in Å follow each position.
Atoms (fractional coordinates):
Sr 0.0000 0.0000 0.0000  4 Sr 2.81
Al 0.0000 0.0000 0.5000  8 Mo 2.80, 4 Al 2.81
Mo 0.5000 0.5000 0.2949  4 Al 2.80, 4 Mo 2.81
Mo 0.5000 0.5000 0.7051  4 Al 2.80, 4 Mo 2.81

Output
Its magnetic moment is 0.00 μB/cell. The total energy comes out at -0.2277 hartree per atom.

[8]
Compound: SrAlMo2
Source: the Alexandria database
Functional: PBE
Structure: relaxed

Cell lengths 4.5035, 4.5035, 6.8405 Å; angles 96.50, 96.50, 40.80 degrees
Closest atoms and distances in Å follow each position.
Atoms (fractional coordinates):
Sr 0.0000 0.0000 0.0000  2 Sr 3.14, 3 Mo 3.18-3.47, 3 Al 3.27-3.37
Al 0.2422 0.2422 0.6605  5 Mo 2.66-2.73
Mo 0.5054 0.5054 0.4824  3 Mo 2.58-2.59, 3 Al 2.66-2.71
Mo 0.7758 0.7758 0.3411  3 Mo 2.58-2.59, 2 Al 2.73

Output
Its magnetic moment is 0.00 μB/cell. The total energy comes out at -0.2335 hartree per atom.

[9]
Compound: Sr2AlMo
Source: the Alexandria database
Functional: PBE
Structure: relaxed

Cell lengths 6.4011, 6.4011, 6.4011 Å; angles 143.81, 130.56, 62.79 degrees
Closest atoms and distances in Å follow each position.
Atoms (fractional coordinates):
Sr 0.0000 0.0000 0.0000  4 Mo 3.44, 4 Sr 3.52-3.74, 4 Al 3.60-3.63
Sr 0.7096 0.2096 0.5000  4 Al 3.41, 4 Sr 3.52-3.74, 4 Mo 3.55-3.71
Al 0.2751 0.7751 0.5000  2 Mo 2.56
Mo 0.4231 0.4231 0.0000  2 Al 2.56

Output
Its magnetic moment is 1.44 μB/cell. The total energy comes out at -0.1467 hartree per atom.

[10]
Compound: SrAlMo2
Source: the Alexandria database
Functional: PBE
Structure: relaxed

Cell lengths 5.7335, 5.7335, 5.7335 Å; angles 145.84, 126.43, 65.09 degrees
Closest atoms and distances in Å follow each position.
Atoms (fractional coordinates):
Sr 0.0000 0.0000 0.0000  8 Mo 3.12-3.40, 4 Al 3.27-3.28, 2 Sr 3.37
Al 0.2902 0.7902 0.5000  6 Mo 2.99-3.14, 4 Sr 3.27-3.28
Mo 0.5459 0.5459 0.0000  2 Mo 2.44
Mo 0.7285 0.2285 0.5000  2 Mo 2.44

Output
Its magnetic moment is 0.00 μB/cell. The total energy comes out at -0.2261 hartree per atom.

[11]
Compound: SrAl2Mo2
Source: the Alexandria database
Functional: PBE
Structure: relaxed

Cell lengths 8.2880, 8.2880, 2.7822 Å; angles 90.00, 90.00, 90.00 degrees
Closest atoms and distances in Å follow each position.
Atoms (fractional coordinates):
Sr 0.0000 0.0000 0.0000  2 Sr 2.78, 4 Al 3.05
Sr 0.5000 0.5000 0.0000  2 Sr 2.78, 4 Al 3.05
Al 0.1781 0.3219 0.0000  2 Al 2.78, 6 Mo 2.82-2.85, 2 Sr 3.05
Al 0.3219 0.8219 0.0000  2 Al 2.78, 6 Mo 2.82-2.85, 2 Sr 3.05
Al 0.6781 0.1781 0.0000  2 Al 2.78, 6 Mo 2.82-2.85, 2 Sr 3.05
Al 0.8219 0.6781 0.0000  2 Al 2.78, 6 Mo 2.82-2.85, 2 Sr 3.05
Mo 0.1093 0.6093 0.5000  3 Mo 2.56-2.78, 6 Al 2.82-2.85
Mo 0.3907 0.1093 0.5000  3 Mo 2.56-2.78, 6 Al 2.82-2.85
Mo 0.6093 0.8907 0.5000  3 Mo 2.56-2.78, 6 Al 2.82-2.85
Mo 0.8907 0.3907 0.5000  3 Mo 2.56-2.78, 6 Al 2.82-2.85

Output
Its magnetic moment is 0.00 μB/cell. The total energy comes out at -0.2225 hartree per atom.

[12]
Compound: SrAl2Mo
Source: the Alexandria database
Functional: PBE
Structure: relaxed

Cell lengths 5.2218, 5.2218, 5.9687 Å; angles 101.07, 101.07, 31.94 degrees
Closest atoms and distances in Å follow each position.
Atoms (fractional coordinates):
Sr 0.0000 0.0000 0.0000  2 Sr 2.87, 3 Al 3.17-3.20
Al 0.2310 0.2310 0.7074  2 Mo 2.68, 4 Al 2.71-2.87
Al 0.5160 0.5160 0.4832  4 Al 2.71-2.87, 3 Mo 2.73-2.92
Mo 0.7814 0.7814 0.3549  5 Al 2.68-2.92, 2 Mo 2.87

Output
Its magnetic moment is 0.00 μB/cell. The total energy comes out at -0.1704 hartree per atom.